Record 1
Compound: HfSn3Br
Source: Alexandria via LeMat-Bulk
Functional: GGA-PBE
Structure: relaxed

Output
symmetry = Pm-3m (221)
raw formation energy = 0.9158 eV/atom
DOS(E_F) = 1.03 states/eV per atom

a = 5.3849 Å, b = 5.3849 Å, c = 5.3849 Å
α = 90.00°, β = 90.00°, γ = 90.00°
Last column: nearest neighbours and their distance in Å.
Atoms (fractional coordinates):
1 Hf 0.5000 0.5000 0.5000  12 Sn 3.81
2 Sn 0.0000 0.5000 0.0000  2 Br 2.69
3 Sn 0.0000 0.0000 0.5000  2 Br 2.69
4 Sn 0.5000 0.0000 0.0000  2 Br 2.69
5 Br 0.0000 0.0000 0.0000  6 Sn 2.69

Record 2
Compound: HfSn2Br
Source: Alexandria via LeMat-Bulk
Functional: GGA-PBE
Structure: relaxed

Output
symmetry = I-42d (122)
raw formation energy = 0.2357 eV/atom
DOS(E_F) = 0.89 states/eV per atom

a = 4.2547 Å, b = 4.2547 Å, c = 11.6947 Å
α = 79.52°, β = 79.52°, γ = 90.00°
Last column: nearest neighbours and their distance in Å.
Atoms (fractional coordinates):
1 Hf 0.0000 0.0000 0.0000  4 Br 3.01, 4 Sn 3.18
2 Hf 0.7500 0.2500 0.5000  4 Br 3.01, 4 Sn 3.18
3 Sn 0.6388 0.1250 0.2500  4 Sn 2.93-3.09, 2 Hf 3.18, 2 Br 3.22
4 Sn 0.1112 0.6250 0.2500  4 Sn 2.93-3.09, 2 Hf 3.18, 2 Br 3.22
5 Sn 0.3750 0.3612 0.7500  4 Sn 2.93-3.09, 2 Hf 3.18, 2 Br 3.22
6 Sn 0.8750 0.8888 0.7500  4 Sn 2.93-3.09, 2 Hf 3.18, 2 Br 3.22
7 Br 0.5000 0.5000 0.0000  4 Hf 3.01, 4 Sn 3.22
8 Br 0.2500 0.7500 0.5000  4 Hf 3.01, 4 Sn 3.22

Record 3
Compound: HfSnBr
Source: Alexandria via LeMat-Bulk
Functional: GGA-PBE
Structure: relaxed

Output
symmetry = Cc (9)
raw formation energy = -0.2564 eV/atom
DOS(E_F) = 0.45 states/eV per atom

a = 4.9669 Å, b = 9.2186 Å, c = 11.1383 Å
α = 64.18°, β = 77.12°, γ = 74.37°
Last column: nearest neighbours and their distance in Å.
Atoms (fractional coordinates):
1 Hf 0.2611 0.6295 0.3468  2 Br 2.73, 2 Sn 2.86-3.00
2 Hf 0.5604 0.2339 0.1450  3 Br 2.72-2.83, 2 Sn 2.96-2.97
3 Hf 0.0607 0.7339 0.6450  3 Br 2.72-2.83, 2 Sn 2.96-2.97
4 Hf 0.9373 0.3444 0.2806  4 Br 2.70-2.75
5 Hf 0.4377 0.8444 0.7806  4 Br 2.70-2.75
6 Hf 0.7626 0.1295 0.8468  2 Br 2.73, 2 Sn 2.86-3.00
7 Sn 0.7200 0.8859 0.1756  1 Hf 2.97, 2 Sn 3.24
8 Sn 0.4073 0.5850 0.1004  2 Hf 2.86-2.96
9 Sn 0.0994 0.9776 0.3242  3 Hf 3.00-3.28, 2 Sn 3.24, 2 Br 3.31
10 Sn 0.2185 0.3859 0.6756  1 Hf 2.97, 2 Sn 3.24
11 Sn 0.9073 0.0850 0.6004  2 Hf 2.86-2.96
12 Sn 0.5988 0.4776 0.8242  3 Hf 3.00-3.28, 2 Sn 3.24, 2 Br 3.31
13 Br 0.7732 0.5110 0.4413  3 Hf 2.70-2.73
14 Br 0.0687 0.3231 0.0392  3 Hf 2.70-2.72
15 Br 0.5689 0.8231 0.5392  3 Hf 2.70-2.72
16 Br 0.4216 0.2595 0.3969  3 Hf 2.75-2.83
17 Br 0.9219 0.7595 0.8969  3 Hf 2.75-2.83
18 Br 0.2745 0.0110 0.9413  3 Hf 2.70-2.73

Record 4
Compound: HfSnBr2
Source: Alexandria via LeMat-Bulk
Functional: GGA-PBE
Structure: relaxed

Output
symmetry = R-3m (166)
raw formation energy = -0.2427 eV/atom
DOS(E_F) = 0.94 states/eV per atom

a = 10.6229 Å, b = 10.6229 Å, c = 10.6229 Å
α = 18.99°, β = 18.99°, γ = 18.99°
Last column: nearest neighbours and their distance in Å.
Atoms (fractional coordinates):
1 Hf 0.0000 0.0000 0.0000  2 Br 2.54
2 Sn 0.5000 0.5000 0.5000  6 Br 3.35, 6 Sn 3.50
3 Br 0.9187 0.9187 0.9187  1 Hf 2.54
4 Br 0.0813 0.0813 0.0813  1 Hf 2.54

Which formula does entry 2 have?
HfSn2Br

Which of these has the highest raw formation energy?
HfSn3Br

What did the fourth record say?
Compound: HfSnBr2
Source: Alexandria via LeMat-Bulk
Functional: GGA-PBE
Structure: relaxed

Output
symmetry = R-3m (166)
raw formation energy = -0.2427 eV/atom
DOS(E_F) = 0.94 states/eV per atom

a = 10.6229 Å, b = 10.6229 Å, c = 10.6229 Å
α = 18.99°, β = 18.99°, γ = 18.99°
Last column: nearest neighbours and their distance in Å.
Atoms (fractional coordinates):
1 Hf 0.0000 0.0000 0.0000  2 Br 2.54
2 Sn 0.5000 0.5000 0.5000  6 Br 3.35, 6 Sn 3.50
3 Br 0.9187 0.9187 0.9187  1 Hf 2.54
4 Br 0.0813 0.0813 0.0813  1 Hf 2.54

Repeat the third record exactly.
Compound: HfSnBr
Source: Alexandria via LeMat-Bulk
Functional: GGA-PBE
Structure: relaxed

Output
symmetry = Cc (9)
raw formation energy = -0.2564 eV/atom
DOS(E_F) = 0.45 states/eV per atom

a = 4.9669 Å, b = 9.2186 Å, c = 11.1383 Å
α = 64.18°, β = 77.12°, γ = 74.37°
Last column: nearest neighbours and their distance in Å.
Atoms (fractional coordinates):
1 Hf 0.2611 0.6295 0.3468  2 Br 2.73, 2 Sn 2.86-3.00
2 Hf 0.5604 0.2339 0.1450  3 Br 2.72-2.83, 2 Sn 2.96-2.97
3 Hf 0.0607 0.7339 0.6450  3 Br 2.72-2.83, 2 Sn 2.96-2.97
4 Hf 0.9373 0.3444 0.2806  4 Br 2.70-2.75
5 Hf 0.4377 0.8444 0.7806  4 Br 2.70-2.75
6 Hf 0.7626 0.1295 0.8468  2 Br 2.73, 2 Sn 2.86-3.00
7 Sn 0.7200 0.8859 0.1756  1 Hf 2.97, 2 Sn 3.24
8 Sn 0.4073 0.5850 0.1004  2 Hf 2.86-2.96
9 Sn 0.0994 0.9776 0.3242  3 Hf 3.00-3.28, 2 Sn 3.24, 2 Br 3.31
10 Sn 0.2185 0.3859 0.6756  1 Hf 2.97, 2 Sn 3.24
11 Sn 0.9073 0.0850 0.6004  2 Hf 2.86-2.96
12 Sn 0.5988 0.4776 0.8242  3 Hf 3.00-3.28, 2 Sn 3.24, 2 Br 3.31
13 Br 0.7732 0.5110 0.4413  3 Hf 2.70-2.73
14 Br 0.0687 0.3231 0.0392  3 Hf 2.70-2.72
15 Br 0.5689 0.8231 0.5392  3 Hf 2.70-2.72
16 Br 0.4216 0.2595 0.3969  3 Hf 2.75-2.83
17 Br 0.9219 0.7595 0.8969  3 Hf 2.75-2.83
18 Br 0.2745 0.0110 0.9413  3 Hf 2.70-2.73